DFT (PBE with a Hubbard U) results for a geometry-optimized NpNiIrO6 structure.

Unit cell a=5.200 b=5.200 c=8.902 alpha=90.00 beta=90.00 gamma=120.00
Atoms (fractional coordinates):
Np (0.333, 0.667, 0.250)
Np (0.667, 0.333, 0.750)
Ni (0.333, 0.667, 0.750)
Ni (0.667, 0.333, 0.250)
Ir (0.000, 0.000, 0.000)
Ir (0.000, 0.000, 0.500)
O (0.002, 0.325, 0.126)
O (0.002, 0.677, 0.374)
O (0.323, 0.325, 0.374)
O (0.323, 0.998, 0.126)
O (0.325, 0.002, 0.626)
O (0.325, 0.323, 0.874)
O (0.675, 0.677, 0.126)
O (0.675, 0.998, 0.374)
O (0.677, 0.002, 0.874)
O (0.677, 0.675, 0.626)
O (0.998, 0.323, 0.626)
O (0.998, 0.675, 0.874)

## Properties
**Magnetic moment**: 3.1 μB/cell
**Raw total energy**: -68.66 eV/f.u.
**DOS(E_F)**: 8.3 states/eV/f.u.